No. 1
RbLi2Se2, optimized geometry, DFT PBE-GGA; calculated volume = 220 Å³ per cell; ρ = 3.88 g/cm3; total energy = -3.278 eV per atom; ΔE_f (raw) = -0.925 eV/atom; crystal system = tetragonal; energy above the most stable polymorph in this dataset = 96 meV per atom; size of the total moment = 0.00 μB per cell
1.0
8.287 0.000 0.000
0.000 8.287 0.000
0.000 0.000 3.208
Li Rb Se
4 2 4
direct
0.118 0.382 0.000
0.882 0.618 0.000
0.382 0.882 0.000
0.618 0.118 0.000
0.000 0.000 0.000
0.500 0.500 0.000
0.664 0.836 0.500
0.836 0.336 0.500
0.336 0.164 0.500
0.164 0.664 0.500

***

No. 2
Rb3LiSe, optimized geometry, DFT PBE-GGA; calculated volume = 301 Å³ per cell; ρ = 1.89 g/cm3; total energy = -2.112 eV per atom; ΔE_f (raw) = -0.452 eV/atom; crystal system = cubic; energy above the most stable polymorph in this dataset = 0 meV per atom; size of the total moment = 0.00 μB per cell
1.0
6.705 0.000 0.000
0.000 6.705 0.000
0.000 0.000 6.705
Se Rb Li
1 3 1
direct
0.000 0.000 0.000
0.500 0.000 0.000
0.000 0.500 0.000
0.000 0.000 0.500
0.500 0.500 0.500

***

No. 3
RbLi3Se3, optimized geometry, DFT PBE-GGA; calculated volume = 356 Å³ per cell; ρ = 3.20 g/cm3; total energy = -3.298 eV per atom; ΔE_f (raw) = -0.846 eV/atom; crystal system = cubic; size of the total moment = 2.19 μB per cell
1.0
7.088 0.000 0.000
0.000 7.088 0.000
0.000 0.000 7.088
Rb Li Se
2 6 6
direct
0.000 0.000 0.000
0.500 0.500 0.500
0.750 0.000 0.500
0.500 0.250 0.000
0.000 0.500 0.750
0.500 0.750 0.000
0.000 0.500 0.250
0.250 0.000 0.500
0.000 0.250 0.500
0.500 0.000 0.750
0.750 0.500 0.000
0.250 0.500 0.000
0.000 0.750 0.500
0.500 0.000 0.250

***

No. 4
RbLi3Se, optimized geometry, DFT PBE-GGA; calculated volume = 171 Å³ per cell; ρ = 1.79 g/cm3; total energy = -1.420 eV per atom; ΔE_f (raw) = 0.618 eV/atom; crystal system = cubic; energy above the most stable polymorph in this dataset = 1096 meV per atom; size of the total moment = 0.00 μB per cell
1.0
5.555 0.000 0.000
0.000 5.555 0.000
0.000 0.000 5.555
Li Rb Se
3 1 1
direct
0.000 0.000 0.500
0.000 0.500 0.000
0.500 0.000 0.000
0.000 0.000 0.000
0.500 0.500 0.500

***

No. 5
RbLi3Se, optimized geometry, DFT PBE-GGA; calculated volume = 144 Å³ per cell; ρ = 2.14 g/cm3; total energy = -2.516 eV per atom; ΔE_f (raw) = -0.477 eV/atom; crystal system = cubic; energy above the most stable polymorph in this dataset = 0 meV per atom; size of the total moment = 0.00 μB per cell
1.0
-1.106 0.253 -5.117
-4.520 -2.512 0.853
-2.411 4.593 0.749
Li Se Rb
3 1 1
direct
0.500 0.000 0.000
0.000 0.000 0.500
0.000 0.500 0.000
0.000 0.000 0.000
0.500 0.500 0.500

***

No. 6
RbLiSe2, optimized geometry, DFT PBE-GGA; calculated volume = 120 Å³ per cell; ρ = 3.46 g/cm3; total energy = -2.795 eV per atom; ΔE_f (raw) = -0.333 eV/atom; crystal system = trigonal; size of the total moment = 0.00 μB per cell
1.0
-9.584 0.467 3.607
-9.377 -3.138 2.701
-8.083 -1.968 5.989
Se Rb Li
2 1 1
direct
0.079 0.079 0.079
0.921 0.921 0.921
0.500 0.500 0.500
0.000 0.000 0.000

***

No. 7
RbLi2Se2, optimized geometry, DFT PBE-GGA; calculated volume = 120 Å³ per cell; ρ = 3.56 g/cm3; total energy = -3.374 eV per atom; ΔE_f (raw) = -1.021 eV/atom; crystal system = tetragonal; energy above the most stable polymorph in this dataset = 0 meV per atom; size of the total moment = 0.00 μB per cell
1.0
-1.021 4.180 1.412
-3.815 -1.564 1.872
0.448 0.316 6.653
Se Rb Li
2 1 2
direct
0.361 0.361 0.279
0.639 0.639 0.721
0.000 0.000 0.000
0.250 0.750 0.500
0.750 0.250 0.500

***

No. 8
RbLiSe2, optimized geometry, DFT PBE-GGA; calculated volume = 126 Å³ per cell; ρ = 3.30 g/cm3; total energy = -3.047 eV per atom; ΔE_f (raw) = -0.585 eV/atom; crystal system = trigonal; size of the total moment = 0.00 μB per cell
1.0
2.853 0.000 5.967
-1.426 2.470 5.967
-1.426 -2.470 5.967
Se Li Rb
2 1 1
direct
0.815 0.815 0.815
0.185 0.185 0.185
0.500 0.500 0.500
0.000 0.000 0.000

***

No. 9
RbLiSiSe3, optimized geometry, DFT PBE-GGA; calculated volume = 415 Å³ per cell; ρ = 2.86 g/cm3; total energy = -3.966 eV per atom; ΔE_f (raw) = -0.840 eV/atom; crystal system = monoclinic; size of the total moment = 0.00 μB per cell
1.0
-5.152 -1.299 4.477
-2.241 -5.033 -4.233
6.340 -4.516 4.055
Rb Se Li Si
2 6 2 2
direct
0.200 0.200 0.160
0.800 0.800 0.840
0.348 0.348 0.562
0.092 0.715 0.226
0.285 0.908 0.774
0.652 0.652 0.438
0.908 0.285 0.774
0.715 0.092 0.226
0.291 0.709 0.500
0.709 0.291 0.500
0.818 0.818 0.301
0.182 0.182 0.699

***

No. 10
RbLi2SiSe4, optimized geometry, DFT PBE-GGA; calculated volume = 220 Å³ per cell; ρ = 3.35 g/cm3; total energy = -3.861 eV per atom; ΔE_f (raw) = -0.842 eV/atom; crystal system = tetragonal; size of the total moment = 0.97 μB per cell
1.0
6.627 0.936 0.000
-1.454 6.533 0.000
-2.586 -3.735 4.915
Si Se Li Rb
1 4 2 1
direct
0.000 0.000 0.000
0.663 0.663 0.629
0.337 0.966 0.000
0.034 0.034 0.371
0.966 0.337 0.000
0.250 0.750 0.500
0.750 0.250 0.500
0.500 0.500 0.000

***

No. 11
Rb2LiSiSe4, optimized geometry, DFT PBE-GGA; calculated volume = 243 Å³ per cell; ρ = 3.57 g/cm3; total energy = -3.747 eV per atom; ΔE_f (raw) = -0.845 eV/atom; crystal system = tetragonal; size of the total moment = 1.09 μB per cell
1.0
7.085 0.000 0.000
3.543 5.853 0.000
3.543 0.000 5.853
Li Rb Si Se
1 2 1 4
direct
0.000 0.000 0.000
0.500 0.500 0.500
0.000 0.500 0.500
0.500 0.000 0.000
0.140 0.299 0.000
0.438 0.701 0.000
0.860 0.000 0.701
0.562 0.000 0.299

***

No. 12
RbLiSmSe2, optimized geometry, DFT PBE-GGA; calculated volume = 359 Å³ per cell; ρ = 3.71 g/cm3; total energy = -4.088 eV per atom; ΔE_f (raw) = -1.174 eV/atom; crystal system = orthorhombic; size of the total moment = 0.00 μB per cell
1.0
5.142 0.000 0.000
0.000 8.442 0.000
0.000 -4.221 8.265
Se Sm Li Rb
4 2 2 2
direct
0.349 0.392 0.783
0.349 0.108 0.217
0.651 0.608 0.217
0.651 0.892 0.783
0.500 0.250 0.000
0.500 0.750 0.000
0.000 0.500 0.000
0.000 0.000 0.000
0.838 0.250 0.500
0.162 0.750 0.500

***

No. 13
RbLi2SnSe, optimized geometry, DFT PBE-GGA; calculated volume = 174 Å³ per cell; ρ = 2.84 g/cm3; total energy = -1.653 eV per atom; ΔE_f (raw) = 0.804 eV/atom; crystal system = tetragonal; size of the total moment = 0.00 μB per cell
1.0
-4.007 -3.309 -0.755
4.034 -4.457 -1.871
0.449 -1.674 4.957
Se Li Sn Rb
1 2 1 1
direct
0.500 0.500 0.500
0.500 0.000 0.000
0.000 0.000 0.500
0.000 0.500 0.000
0.000 0.000 0.000

***

No. 14
RbLi2TaSe4, optimized geometry, DFT PBE-GGA; calculated volume = 232 Å³ per cell; ρ = 4.26 g/cm3; total energy = -4.863 eV per atom; ΔE_f (raw) = -1.040 eV/atom; crystal system = tetragonal; size of the total moment = 0.00 μB per cell
1.0
6.805 0.110 0.159
-3.180 6.018 -0.159
-3.180 -2.255 5.581
Se Li Ta Rb
4 2 1 1
direct
0.000 0.150 0.538
0.000 0.538 0.150
0.612 0.462 0.462
0.388 0.850 0.850
0.500 0.250 0.750
0.500 0.750 0.250
0.000 0.500 0.500
0.000 0.000 0.000

***

No. 15
Rb2LiTaSe4, optimized geometry, DFT PBE-GGA; calculated volume = 548 Å³ per cell; ρ = 4.09 g/cm3; total energy = -4.829 eV per atom; ΔE_f (raw) = -1.124 eV/atom; crystal system = orthorhombic; size of the total moment = 0.00 μB per cell
1.0
6.118 0.000 0.000
3.059 7.080 0.000
3.059 0.000 12.655
Rb Se Li Ta
4 8 2 2
direct
0.571 0.500 0.858
0.179 0.000 0.642
0.821 0.000 0.358
0.929 0.500 0.142
0.527 0.302 0.608
0.437 0.698 0.392
0.313 0.802 0.108
0.865 0.698 0.608
0.579 0.198 0.108
0.171 0.302 0.392
0.885 0.802 0.892
0.223 0.198 0.892
0.750 0.500 0.500
0.000 0.000 0.000
0.500 0.000 0.000
0.250 0.500 0.500

***

No. 16
RbLiTaSe4, optimized geometry, DFT PBE-GGA; calculated volume = 402 Å³ per cell; ρ = 4.87 g/cm3; total energy = -4.934 eV per atom; ΔE_f (raw) = -0.838 eV/atom; crystal system = monoclinic; size of the total moment = 0.50 μB per cell
1.0
7.469 0.000 0.056
0.000 5.597 0.000
-2.868 0.000 9.593
Se Rb Li Ta
8 2 2 2
direct
0.971 0.502 0.695
0.533 0.250 0.832
0.466 0.250 0.402
0.534 0.750 0.598
0.029 0.498 0.305
0.029 0.002 0.305
0.467 0.750 0.168
0.971 0.998 0.695
0.776 0.750 0.973
0.224 0.250 0.027
0.807 0.750 0.442
0.193 0.250 0.558
0.675 0.250 0.645
0.325 0.750 0.355

***

No. 17
RbLiTb2Se4, optimized geometry, DFT PBE-GGA; calculated volume = 443 Å³ per cell; ρ = 5.45 g/cm3; total energy = -4.967 eV per atom; ΔE_f (raw) = -1.707 eV/atom; crystal system = orthorhombic; size of the total moment = 0.00 μB per cell
1.0
-1.657 3.632 1.400
-5.545 -4.938 -0.146
3.116 -3.908 13.823
Se Rb Li Tb
8 2 2 4
direct
0.577 0.154 0.250
0.738 0.476 0.894
0.262 0.524 0.394
0.000 0.000 0.000
0.262 0.524 0.106
0.738 0.476 0.606
0.000 0.000 0.500
0.423 0.846 0.750
0.108 0.216 0.750
0.892 0.784 0.250
0.168 0.337 0.250
0.832 0.663 0.750
0.366 0.732 0.939
0.634 0.268 0.439
0.366 0.732 0.561
0.634 0.268 0.061

***

No. 18
Rb2LiTeSe4, optimized geometry, DFT PBE-GGA; calculated volume = 574 Å³ per cell; ρ = 3.59 g/cm3; total energy = -3.245 eV per atom; ΔE_f (raw) = -0.629 eV/atom; crystal system = orthorhombic; size of the total moment = 0.01 μB per cell
1.0
-1.910 1.692 -5.809
0.133 -5.873 -5.220
-12.801 -2.118 0.128
Se Rb Li Te
8 4 2 2
direct
0.312 0.781 0.107
0.550 0.281 0.607
0.200 0.219 0.893
0.907 0.781 0.893
0.169 0.281 0.393
0.581 0.219 0.107
0.843 0.719 0.607
0.438 0.719 0.393
0.180 0.000 0.640
0.930 0.500 0.140
0.820 0.000 0.360
0.570 0.500 0.860
0.000 0.000 0.000
0.750 0.500 0.500
0.250 0.500 0.500
0.500 0.000 0.000

***

No. 19
RbLiTeSe3, optimized geometry, DFT PBE-GGA; calculated volume = 381 Å³ per cell; ρ = 3.98 g/cm3; total energy = -3.353 eV per atom; ΔE_f (raw) = -0.607 eV/atom; crystal system = orthorhombic; size of the total moment = 0.00 μB per cell
1.0
-2.501 4.112 -5.794
-6.810 -2.685 1.034
2.017 6.508 3.748
Se Rb Te Li
6 2 2 2
direct
0.000 0.228 0.000
0.500 0.772 0.000
0.750 0.734 0.468
0.250 0.266 0.532
0.000 0.772 0.000
0.500 0.228 0.000
0.250 0.771 0.542
0.750 0.229 0.458
0.250 0.450 0.901
0.750 0.550 0.099
0.250 0.069 0.137
0.750 0.931 0.863

***

No. 20
Rb3LiTh2Se6, optimized geometry, DFT PBE-GGA; calculated volume = 394 Å³ per cell; ρ = 5.06 g/cm3; total energy = -4.936 eV per atom; ΔE_f (raw) = -1.555 eV/atom; crystal system = monoclinic; size of the total moment = 0.00 μB per cell
1.0
-4.620 -0.366 5.970
1.267 -6.165 -4.184
7.291 0.262 4.077
Se Rb Th Li
6 3 2 1
direct
0.721 0.721 0.196
0.934 0.588 0.801
0.412 0.066 0.199
0.588 0.934 0.801
0.066 0.412 0.199
0.279 0.279 0.804
0.500 0.500 0.500
0.839 0.161 0.500
0.161 0.839 0.500
0.333 0.667 0.000
0.667 0.333 0.000
0.000 0.000 0.000